Entry from Alexandria via LeMat-Bulk: a geometry-optimized BeNi2RhO6 structure (PBE+U).

Final energy: -5.179 eV/atom

Cell: 4.409 5.219 5.219 Å, 90.00 90.00 90.00°
Each line ends with the local moment (μB).
Fractional coordinates of all 10 atoms:
Be1 0.591 0.000 0.000  0.03
Ni1 0.911 0.500 0.000  1.76
Ni2 0.911 0.000 0.500  1.76
Rh1 0.624 0.500 0.500  0.81
O1 0.736 0.241 0.241  0.13
O2 0.736 0.241 0.759  0.13
O3 0.221 0.500 0.500  0.46
O4 0.246 0.000 0.000  -0.32
O5 0.736 0.759 0.759  0.13
O6 0.736 0.759 0.241  0.13